i.
This record from Alexandria via LeMat-Bulk describes a geometry-optimized CaTe2N2 structure. The functional is PBE-GGA.

Its volume is 99.3 Å³/f.u.

It has space group P4/mmm (No. 123), with a = 4.7460 Å, b = 4.7460 Å, c = 4.4066 Å, α = 90.00°, β = 90.00° and γ = 90.00°. The inequivalent atoms are Ca at (0.0000, 0.0000, 0.0000), Te at (0.0000, 0.5000, 0.5000), N at (0.5000, 0.5000, 0.0000) and N at (0.5000, 0.5000, 0.5000).

ii.
This record from Alexandria via LeMat-Bulk describes a geometry-optimized CaTe2N2 structure. The functional is PBE-GGA.

Its volume is 139.6 Å³/f.u.

It has space group P4/mmm (No. 123), with a = 4.5924 Å, b = 4.5924 Å, c = 6.6198 Å, α = 90.00°, β = 90.00° and γ = 90.00°. The inequivalent atoms are Ca at (0.0000, 0.0000, 0.0000), Te at (0.0000, 0.0000, 0.5000), Te at (0.5000, 0.5000, 0.5000) and N at (0.0000, 0.5000, 0.0000).

Short version: i is the most stable of them.